## Tb3Mn5H12 (PBE)

Data for a geometry-optimized Tb3Mn5H12 structure.

Properties
M_tot: 0.502 μB per atom
Symmetry: No. 230
Energy: -103.820 eV/f.u.
Density of states at the Fermi level: 5.9 states/eV/f.u.
Volume: 731.2 Å³/cell

Cell: 9.830 9.830 9.830 Å, 109.47 109.47 109.47°
Sites, in units of the cell vectors:
Tb  0.750  0.375  0.125
Tb  0.875  0.750  0.125
Tb  0.375  0.750  0.625
Tb  0.250  0.125  0.375
Tb  0.875  0.125  0.250
Tb  0.375  0.625  0.250
Tb  0.625  0.375  0.750
Tb  0.125  0.875  0.750
Tb  0.750  0.875  0.625
Tb  0.625  0.250  0.375
Tb  0.125  0.250  0.875
Tb  0.250  0.625  0.875
Mn  0.125  0.375  0.250
Mn  0.000  0.500  0.000
Mn  0.000  0.000  0.000
Mn  0.375  0.250  0.125
Mn  0.500  0.000  0.500
Mn  0.500  0.500  0.000
Mn  0.125  0.750  0.375
Mn  0.750  0.125  0.875
Mn  0.750  0.625  0.375
Mn  0.375  0.125  0.750
Mn  0.625  0.875  0.250
Mn  0.500  0.500  0.500
Mn  0.500  0.000  0.000
Mn  0.000  0.000  0.500
Mn  0.250  0.375  0.625
Mn  0.250  0.875  0.125
Mn  0.000  0.500  0.500
Mn  0.875  0.250  0.625
Mn  0.625  0.750  0.875
Mn  0.875  0.625  0.750
H  0.690  0.108  0.024
H  0.335  0.524  0.416
H  0.976  0.392  0.310
H  0.524  0.190  0.108
H  0.581  0.690  0.665
H  0.976  0.584  0.165
H  0.335  0.810  0.419
H  0.084  0.919  0.108
H  0.584  0.976  0.665
H  0.690  0.581  0.165
H  0.810  0.476  0.392
H  0.835  0.916  0.024
H  0.108  0.690  0.524
H  0.392  0.416  0.081
H  0.081  0.916  0.392
H  0.419  0.108  0.584
H  0.081  0.165  0.190
H  0.476  0.665  0.084
H  0.835  0.919  0.310
H  0.108  0.419  0.084
H  0.392  0.976  0.810
H  0.584  0.608  0.419
H  0.916  0.835  0.524
H  0.810  0.335  0.919
H  0.416  0.392  0.581
H  0.084  0.165  0.476
H  0.190  0.665  0.081
H  0.165  0.081  0.690
H  0.608  0.024  0.190
H  0.892  0.581  0.916
H  0.524  0.335  0.916
H  0.581  0.892  0.416
H  0.919  0.835  0.810
H  0.919  0.084  0.608
H  0.892  0.310  0.476
H  0.165  0.084  0.976
H  0.608  0.584  0.919
H  0.416  0.024  0.335
H  0.310  0.419  0.835
H  0.190  0.524  0.608
H  0.916  0.081  0.892
H  0.665  0.190  0.581
H  0.476  0.810  0.892
H  0.024  0.416  0.835
H  0.419  0.310  0.335
H  0.024  0.608  0.690
H  0.665  0.476  0.584
H  0.310  0.892  0.976